[1]
## CaMnCuP2 (GGA-PBE)

Data for crystalline CaMnCuP2 at its relaxed geometry.

Cell lengths 3.924, 3.924, 5.904 Å; angles 109.41, 109.41, 90.00 degrees
Each line ends with the local moment (μB).
Atoms (fractional coordinates):
Ca 0.000 0.000 0.000  0.03
Mn 0.750 0.250 0.500  2.83
Cu 0.250 0.750 0.500  0.05
P 0.624 0.624 0.249  -0.03
P 0.376 0.376 0.751  -0.03

=====

[2]
## Ca2MnCu2Pd5 (GGA-PBE)

Data for crystalline Ca2MnCu2Pd5 at its relaxed geometry.

Cell lengths 3.814, 9.550, 9.550 Å; angles 90.00, 90.00, 90.00 degrees
Each line ends with the local moment (μB).
Atoms (fractional coordinates):
Ca 0.000 0.675 0.175  0.00
Ca 0.000 0.325 0.825  0.00
Ca 0.000 0.175 0.325  0.00
Ca 0.000 0.825 0.675  0.00
Mn 0.000 0.000 0.000  4.07
Mn 0.000 0.500 0.500  4.07
Cu 0.000 0.123 0.623  0.02
Cu 0.000 0.877 0.377  0.02
Cu 0.000 0.623 0.877  0.02
Cu 0.000 0.377 0.123  0.02
Pd 0.500 0.202 0.064  0.09
Pd 0.500 0.798 0.936  0.09
Pd 0.500 0.064 0.798  0.09
Pd 0.500 0.702 0.436  0.09
Pd 0.500 0.936 0.202  0.09
Pd 0.500 0.298 0.564  0.09
Pd 0.500 0.564 0.702  0.09
Pd 0.500 0.436 0.298  0.09
Pd 0.500 0.500 0.000  0.04
Pd 0.500 0.000 0.500  0.04

=====

Number 1: formation energy from the elements -59.1 kJ per mole of atoms, final energy -5.83 eV/atom. Number 2: formation energy from the elements -39.9 kJ per mole of atoms, final energy -5.15 eV/atom.